Compound: SiPbI3
Source: Alexandria via LeMat-Bulk
Functional: PBE
Structure: optimized geometry

Cell lengths 6.2325, 6.2325, 6.2325 Å; angles 90.00, 90.00, 90.00 degrees
Space group Pm-3m (No. 221)
One atom of each set of equivalent atoms:
Si  0.0000  0.0000  0.0000 (multiplicity 1)
Pb  0.5000  0.5000  0.5000 (multiplicity 1)
I  0.0000  0.5000  0.5000 (multiplicity 3)

Summary:
- Total moment: 0.20 μB per atom
- Mass density: 4.23 g/cm³
- Offset from the most stable computed form: 0.3335 eV/atom
- Formation energy (no corrections): 0.43 eV per atom